The following is a GGA-PBE calculation of Pu5P3N after structural relaxation, from Alexandria.

Calculated values
- uncorrected energy (eV per atom) = -11.683
- ΔE_f (raw) (eV per formula unit) = -8.93

Unit cell a=7.5205 b=7.5205 c=8.4739 alpha=116.34 beta=116.34 gamma=90.00
With the nearest neighbours (Å) after each atom.
Fractional positions:
Pu: 0.0194 0.5194 0.7074  1 N 2.23
Pu: 0.0000 0.0000 0.0000  4 P 2.92
Pu: 0.6880 0.1880 0.7074  1 N 2.23
Pu: 0.9806 0.4806 0.2926  1 N 2.23
Pu: 0.8120 0.9806 0.2926  1 N 2.23
Pu: 0.5000 0.5000 0.0000  4 P 2.92
Pu: 0.5194 0.6880 0.7074  1 N 2.23
Pu: 0.3120 0.8120 0.2926  1 N 2.23
Pu: 0.1880 0.0194 0.7074  1 N 2.23
Pu: 0.4806 0.3120 0.2926  1 N 2.23
P: 0.7500 0.7500 0.5000  10 Pu 3.12-3.30
P: 0.3644 0.8644 0.0000  8 Pu 2.86-2.99, 1 P 2.88
P: 0.2500 0.2500 0.5000  10 Pu 3.12-3.30
P: 0.8644 0.6356 0.0000  8 Pu 2.86-2.99, 1 P 2.88
P: 0.6356 0.1356 0.0000  8 Pu 2.86-2.99, 1 P 2.88
P: 0.1356 0.3644 0.0000  8 Pu 2.86-2.99, 1 P 2.88
N: 0.2500 0.7500 0.5000  4 Pu 2.23
N: 0.7500 0.2500 0.5000  4 Pu 2.23